(1)
A relaxed RbPm4Te6 crystal. Source: Alexandria via LeMat-Bulk, functional PBE.

a = 4.536 Å, b = 7.820 Å, c = 23.796 Å
α = 90.00°, β = 90.00°, γ = 106.86°
Sites, in units of the cell vectors:
Rb 0.662 0.323 0.250
Rb 0.338 0.677 0.750
Pm 0.866 0.732 0.540
Pm 0.406 0.812 0.130
Pm 0.134 0.268 0.460
Pm 0.594 0.188 0.870
Pm 0.866 0.732 0.960
Pm 0.134 0.268 0.040
Pm 0.594 0.188 0.630
Pm 0.406 0.812 0.370
Te 0.500 0.000 0.000
Te 0.500 0.000 0.500
Te 0.042 0.084 0.345
Te 0.958 0.916 0.655
Te 0.958 0.916 0.845
Te 0.042 0.084 0.155
Te 0.771 0.541 0.418
Te 0.229 0.459 0.582
Te 0.229 0.459 0.918
Te 0.771 0.541 0.082
Te 0.348 0.696 0.250
Te 0.652 0.304 0.750

Results
Distance to the lowest polymorph of the same formula   0 meV per atom
Raw total energy   -108.10 eV/cell
Size of the total moment   0.00 μB per cell
Fermi-level density of states   2.615 states/eV/f.u.
Raw formation energy   -1.385 eV/atom
Symmetry   Cmcm, No. 63

(2)
A relaxed CaDy2Cd crystal. Source: Alexandria via LeMat-Bulk, functional PBE.

a = 3.553 Å, b = 3.553 Å, c = 12.052 Å
α = 81.52°, β = 81.52°, γ = 60.00°
Sites, in units of the cell vectors:
Ca 0.000 0.000 0.000
Cd 0.500 0.500 0.500
Dy 0.097 0.097 0.710
Dy 0.903 0.903 0.290

Results
Distance to the lowest polymorph of the same formula   195 meV per atom
DFT formation energy   129 meV per atom
Raw total energy   -11.60 eV/cell
Size of the total moment   0.00 μB per cell
Fermi-level density of states   7.261 states/eV/f.u.
Symmetry   R-3m, No. 166